Entry 1:
# LiNiIrOs

A geometry-optimized LiNiIrOs structure (PBE, Alexandria).

a = 4.191 Å, b = 4.191 Å, c = 4.191 Å
α = 60.00°, β = 60.00°, γ = 60.00°
Fractional positions:
Ni 0.000 0.000 0.000
Li 0.250 0.250 0.250
Os 0.750 0.750 0.750
Ir 0.500 0.500 0.500

Output
The symmetry is F-43m (216). As for the formation energy: 0.139 eV/atom.

=====

Entry 2:
# LiPaNiIr

A geometry-optimized LiPaNiIr structure (PBE, Alexandria).

a = 4.581 Å, b = 4.581 Å, c = 4.581 Å
α = 60.00°, β = 60.00°, γ = 60.00°
Fractional positions:
Li 0.500 0.500 0.500
Pa 0.000 0.000 0.000
Ir 0.250 0.250 0.250
Ni 0.750 0.750 0.750

Output
The symmetry is F-43m (216). As for the formation energy: -0.366 eV/atom.